## NpCuI2O8 (PBE-GGA)

Data for a relaxed NpCuI2O8 crystal.

The structure in POSCAR format:
```
NpCuI2O8
1.0
-3.8901 -2.7195 2.1945
4.0373 -1.1597 3.5716
0.1223 5.6229 5.0143
Cu O I Np
1 8 2 1
direct
0.0000 0.0000 0.5000
0.3236 0.2397 0.9775
0.6764 0.7603 0.0225
0.3165 0.2627 0.4854
0.6835 0.7373 0.5146
0.8035 0.3384 0.8129
0.1965 0.6616 0.1871
0.0479 0.9337 0.7683
0.9521 0.0663 0.2317
0.5297 0.5272 0.7318
0.4703 0.4728 0.2682
0.0000 0.0000 0.0000
```

Calculated values
As for the density of states at the Fermi level: 4.61 states/eV per cell. The uncorrected formation energy comes out at -12.22 eV per formula unit. As for the magnetization: 0.6 μB/cell. As for the space group: P-1, No. 2.


## SrLa14Nd (PBE-GGA)

Data for a relaxed SrLa14Nd crystal.

The structure in POSCAR format:
```
SrLa14Nd
1.0
-3.1629 -6.8019 0.1583
3.0630 -1.5794 -6.6647
8.5540 -3.8649 4.8472
La Sr Nd
14 1 1
direct
0.1329 0.6171 0.7558
0.3750 0.8750 0.5000
0.1329 0.1329 0.7558
0.6171 0.1329 0.7558
0.8750 0.3750 0.0000
0.1329 0.1329 0.2442
0.6171 0.6171 0.2442
0.3750 0.8750 0.0000
0.3750 0.3750 0.0000
0.8750 0.3750 0.5000
0.1329 0.6171 0.2442
0.6171 0.1329 0.2442
0.6171 0.6171 0.7558
0.8750 0.8750 0.0000
0.8750 0.8750 0.5000
0.3750 0.3750 0.5000
```

Calculated values
As for the density of states at the Fermi level: 26.11 states/eV per cell. As for the magnetization: 0.0 μB/cell. The value obtained for the formation enthalpy at 0 K is 0.03 eV per atom. As for the space group: P4/mmm, No. 123.


## Nb5Si4Ru4 (PBE-GGA)

Data for a relaxed Nb5Si4Ru4 crystal.

The structure in POSCAR format:
```
Nb5Si4Ru4
1.0
3.6096 0.0000 0.9178
1.8048 7.3184 0.4589
0.0015 0.0000 7.5516
Ru Nb Si
4 5 4
direct
0.4211 0.6822 0.4755
0.5789 0.3178 0.5245
0.8966 0.5245 0.6822
0.1034 0.4755 0.3178
0.0000 0.0000 0.0000
0.6249 0.6750 0.0752
0.7001 0.9248 0.6750
0.2999 0.0752 0.3250
0.3751 0.3250 0.9248
0.7519 0.3095 0.1866
0.0615 0.1866 0.6905
0.2481 0.6905 0.8134
0.9385 0.8134 0.3095
```

Calculated values
As for the density of states at the Fermi level: 7.11 states/eV per cell. The uncorrected formation energy comes out at -7.81 eV per formula unit. As for the magnetization: 0.0 μB/cell. As for the space group: I4/m, No. 87.


## CaThBi2 (PBE-GGA)

Data for a relaxed CaThBi2 crystal.

The structure in POSCAR format:
```
CaThBi2
1.0
5.6190 0.0000 0.0000
2.8095 4.8662 0.0000
2.8095 1.6221 4.5879
Ca Bi Th
1 2 1
direct
0.0000 0.0000 0.0000
0.7500 0.7500 0.7500
0.2500 0.2500 0.2500
0.5000 0.5000 0.5000
```

Calculated values
As for the density of states at the Fermi level: 2.69 states/eV per cell. As for the magnetization: 0.0 μB/cell. The value obtained for the formation enthalpy at 0 K is -0.55 eV per atom. As for the space group: Fm-3m, No. 225. The polymorph energy (0 for the lowest one) is 194 meV per atom.


| no. | calculated total energy (eV/cell) |
| --- | --- |
| 1 | -72.0 |
| 2 | -74.9 |
| 3 | -117.0 |
| 4 | -19.4 |